Record 1
VASP calculation (PBE-GGA) on crystalline Cs2VI at its relaxed geometry.

Computed properties:
raw formation energy	265	meV/atom
V	53.0	Å³ per atom
energy	-45.266	eV for the cell shown
density	3.5	g/cm3

Cell lengths 9.4659, 9.4659, 9.4659 Å; angles 90.00, 90.00, 90.00 degrees
Last column: nearest neighbours and their distance in Å.
Space group Fm-3m (No. 225)
Asymmetric unit:
Cs (0.2500, 0.2500, 0.2500)  4 I 4.10, 4 V 4.10
V (0.0000, 0.0000, 0.0000)  8 Cs 4.10
I (0.0000, 0.0000, 0.5000)  8 Cs 4.10



Record 2
VASP calculation (PBE-GGA) on crystalline CsV3I at its relaxed geometry.

Computed properties:
raw formation energy	2647	meV/atom
V	23.4	Å³ per atom
energy	-16.523	eV for the cell shown
density	5.9	g/cm3

Cell lengths 4.8895, 4.8895, 4.8895 Å; angles 90.00, 90.00, 90.00 degrees
Last column: nearest neighbours and their distance in Å.
Space group Pm-3m (No. 221)
Asymmetric unit:
Cs (0.0000, 0.0000, 0.0000)  6 V 2.44
V (0.0000, 0.0000, 0.5000)  2 Cs 2.44
I (0.5000, 0.5000, 0.5000)  12 V 3.46



Record 3
VASP calculation (PBE-GGA) on crystalline Cs6V3I14 at its relaxed geometry.

Computed properties:
raw formation energy	-998	meV/atom
V	52.9	Å³ per atom
energy	-77.126	eV for the cell shown
density	3.7	g/cm3

Cell lengths 13.8800, 13.8800, 7.2906 Å; angles 90.00, 90.00, 120.00 degrees
Last column: nearest neighbours and their distance in Å.
Space group P3 (No. 143)
Asymmetric unit:
Cs (0.0196, 0.5615, 0.0000)  7 I 3.74-4.15
Cs (0.3127, 0.1034, 0.5175)  7 I 3.75-4.19
V (0.0000, 0.0000, 0.9464)  4 I 2.62-2.64
V (0.3333, 0.6667, 0.4311)  4 I 2.62-2.63
V (0.6667, 0.3333, 0.2647)  6 I 2.87-2.88
I (0.0000, 0.0000, 0.3054)  1 V 2.62
I (0.0728, 0.8677, 0.8317)  1 V 2.64
I (0.2026, 0.4619, 0.3182)  1 V 2.63
I (0.3333, 0.6667, 0.7902)  1 V 2.62
I (0.4706, 0.2060, 0.0459)  1 V 2.87
I (0.5385, 0.4015, 0.4830)  1 V 2.88